(1)
A relaxed Ba2Sr3Nb10O30 crystal. Source: the Alexandria database, functional PBE.

Calculated values
**Density of states at the Fermi level**: 0.00 states/eV/f.u.
**Offset from the most stable computed form**: 0 meV per atom
**Energy relative to the elements, uncorrected**: -2.7403 eV per atom
**Symmetry**: P1, No. 1

Lattice parameters (Å, degrees): 4.013 12.839 12.853 88.69 89.87 89.68
Positions (direct):
Ba: 0.000 0.000 0.000
Ba: 0.004 0.834 0.532
Sr: 0.002 0.655 0.193
Sr: 0.005 0.513 0.905
Sr: 0.999 0.155 0.687
Nb: 0.504 0.729 0.977
Nb: 0.505 0.240 0.895
Nb: 0.505 0.939 0.757
Nb: 0.506 0.083 0.471
Nb: 0.506 0.867 0.265
Nb: 0.510 0.442 0.124
Nb: 0.511 0.366 0.605
Nb: 0.519 0.580 0.404
Nb: 0.524 0.150 0.180
Nb: 0.528 0.644 0.693
O: 0.476 0.996 0.614
O: 0.477 0.575 0.038
O: 0.478 0.136 0.332
O: 0.478 0.299 0.173
O: 0.480 0.072 0.821
O: 0.480 0.985 0.168
O: 0.481 0.272 0.746
O: 0.481 0.486 0.689
O: 0.482 0.143 0.020
O: 0.482 0.207 0.547
O: 0.482 0.713 0.314
O: 0.482 0.863 0.903
O: 0.483 0.443 0.475
O: 0.483 0.796 0.684
O: 0.485 0.778 0.114
O: 0.488 0.923 0.401
O: 0.490 0.634 0.843
O: 0.490 0.659 0.528
O: 0.491 0.513 0.248
O: 0.492 0.375 0.951
O: 0.980 0.343 0.609
O: 0.981 0.061 0.485
O: 0.984 0.136 0.171
O: 0.984 0.218 0.886
O: 0.984 0.849 0.256
O: 0.984 0.936 0.758
O: 0.986 0.711 0.976
O: 0.987 0.447 0.100
O: 0.987 0.581 0.384
O: 0.992 0.642 0.684

---

(2)
A relaxed BaSr2NbO5 crystal. Source: the Alexandria database, functional PBE.

Calculated values
**Density of states at the Fermi level**: 2.47 states/eV/f.u.
**Energy relative to the elements, uncorrected**: -2.6859 eV per atom
**Symmetry**: Immm, No. 71

Lattice parameters (Å, degrees): 7.027 7.027 7.027 146.52 128.47 62.86
Positions (direct):
Ba: 0.000 0.000 0.000
Sr: 0.284 0.784 0.500
Sr: 0.716 0.216 0.500
Nb: 0.500 0.500 0.000
O: 0.137 0.372 0.765
O: 0.392 0.628 0.765
O: 0.500 0.000 0.500
O: 0.608 0.372 0.235
O: 0.863 0.628 0.235

---

(3)
A relaxed Ba3SrNb2O9 crystal. Source: the Alexandria database, functional PBE.

Calculated values
**Density of states at the Fermi level**: 0.00 states/eV/f.u.
**Offset from the most stable computed form**: 20 meV per atom
**Energy relative to the elements, uncorrected**: -2.8289 eV per atom
**Symmetry**: P-3m1, No. 164

Lattice parameters (Å, degrees): 6.031 6.031 7.797 90.00 90.00 120.00
Positions (direct):
Ba: 0.000 0.000 0.000
Ba: 0.333 0.667 0.712
Ba: 0.667 0.333 0.288
Sr: 0.000 0.000 0.500
Nb: 0.333 0.667 0.170
Nb: 0.667 0.333 0.830
O: 0.000 0.500 0.000
O: 0.176 0.352 0.297
O: 0.176 0.824 0.297
O: 0.352 0.176 0.703
O: 0.500 0.000 0.000
O: 0.500 0.500 0.000
O: 0.648 0.824 0.297
O: 0.824 0.176 0.703
O: 0.824 0.648 0.703

---

(4)
A relaxed Ba2Sr3Nb10O30 crystal. Source: the Alexandria database, functional PBE.

Calculated values
**Density of states at the Fermi level**: 0.00 states/eV/f.u.
**Offset from the most stable computed form**: 5 meV per atom
**Energy relative to the elements, uncorrected**: -2.7350 eV per atom
**Symmetry**: P2, No. 3

Lattice parameters (Å, degrees): 12.669 4.068 12.724 90.00 90.98 90.00
Positions (direct):
Ba: 0.150 0.000 0.309
Ba: 0.850 0.000 0.691
Sr: 0.000 0.997 0.000
Sr: 0.365 0.010 0.788
Sr: 0.635 0.010 0.212
Nb: 0.000 0.514 0.500
Nb: 0.086 0.506 0.790
Nb: 0.213 0.505 0.076
Nb: 0.294 0.514 0.567
Nb: 0.426 0.519 0.294
Nb: 0.500 0.520 0.000
Nb: 0.574 0.519 0.706
Nb: 0.706 0.514 0.433
Nb: 0.787 0.505 0.924
Nb: 0.914 0.506 0.210
O: 0.000 0.969 0.500
O: 0.001 0.467 0.656
O: 0.072 0.969 0.799
O: 0.074 0.459 0.150
O: 0.125 0.467 0.941
O: 0.157 0.456 0.492
O: 0.202 0.968 0.080
O: 0.223 0.473 0.729
O: 0.285 0.471 0.220
O: 0.289 0.967 0.587
O: 0.342 0.460 0.994
O: 0.361 0.481 0.433
O: 0.425 0.459 0.652
O: 0.431 0.975 0.289
O: 0.494 0.474 0.844
O: 0.500 0.974 0.000
O: 0.506 0.474 0.156
O: 0.569 0.975 0.711
O: 0.575 0.459 0.348
O: 0.639 0.481 0.567
O: 0.658 0.460 0.006
O: 0.711 0.967 0.413
O: 0.715 0.471 0.780
O: 0.777 0.473 0.271
O: 0.798 0.968 0.920
O: 0.843 0.456 0.508
O: 0.875 0.467 0.059
O: 0.926 0.459 0.850
O: 0.928 0.969 0.201
O: 0.999 0.467 0.344

---

(5)
A relaxed BaSrNbO4 crystal. Source: the Alexandria database, functional PBE.

Calculated values
**Density of states at the Fermi level**: 2.23 states/eV/f.u.
**Energy relative to the elements, uncorrected**: -2.7003 eV per atom
**Symmetry**: I4mm, No. 107

Lattice parameters (Å, degrees): 7.189 7.189 7.189 146.71 146.71 47.79
Positions (direct):
Ba: 0.000 0.000 0.000
Sr: 0.710 0.710 0.000
Nb: 0.351 0.351 0.000
O: 0.195 0.195 0.000
O: 0.348 0.848 0.500
O: 0.513 0.513 0.000
O: 0.848 0.348 0.500

---

(6)
A relaxed BaSrTbNbO6 crystal. Source: the Alexandria database, functional PBE.

Calculated values
**Density of states at the Fermi level**: 0.00 states/eV/f.u.
**Energy relative to the elements, uncorrected**: -3.0035 eV per atom
**Symmetry**: F-43m, No. 216

Lattice parameters (Å, degrees): 6.028 6.028 6.028 60.00 60.00 60.00
Positions (direct):
Ba: 0.000 0.000 0.000
Sr: 0.500 0.500 0.500
Tb: 0.250 0.250 0.250
Nb: 0.750 0.750 0.750
O: 0.513 0.513 0.987
O: 0.513 0.987 0.513
O: 0.513 0.987 0.987
O: 0.987 0.513 0.513
O: 0.987 0.513 0.987
O: 0.987 0.987 0.513